# Ti7IrRh2

Ti7IrRh2 after structural relaxation (PBE-GGA, Alexandria via LeMat-Bulk).

## Properties
energy of formation from the pure elements: 6.828 eV per formula unit
mass density: 6.313 Mg/m³
energy: -7.200 eV/atom
SG: No. 225
total magnetic moment: 0.00 μB per cell

Unit cell a=6.4849 b=6.4849 c=6.4849 alpha=60.00 beta=60.00 gamma=60.00
Closest atoms and distances in Å follow each position.
Positions (direct):
Ti 0.0000 0.0000 0.0000  6 Ti 2.25
Ti 0.2452 0.2452 0.7548  1 Ti 2.25, 1 Ir 2.34
Ti 0.2452 0.7548 0.2452  1 Ti 2.25, 1 Ir 2.34
Ti 0.2452 0.7548 0.7548  1 Ti 2.25, 1 Ir 2.34
Ti 0.7548 0.2452 0.2452  1 Ti 2.25, 1 Ir 2.34
Ti 0.7548 0.2452 0.7548  1 Ti 2.25, 1 Ir 2.34
Ti 0.7548 0.7548 0.2452  1 Ti 2.25, 1 Ir 2.34
Ir 0.5000 0.5000 0.5000  6 Ti 2.34
Rh 0.2500 0.2500 0.2500  12 Ti 3.24
Rh 0.7500 0.7500 0.7500  12 Ti 3.24